1.
The following is a DFT calculation (PBE-GGA) of a relaxed CrCoCu crystal.

Cell lengths 5.647, 5.647, 5.647 Å; angles 154.20, 154.20, 36.81 degrees
Sites, in units of the cell vectors:
Cr1 0.000 0.000 0.000
Co1 0.651 0.651 0.000
Cu1 0.322 0.322 0.000

Properties
**Calculated density**: 8.50 g/cm³
**Calculated formation energy**: 206 meV/atom
**Density of states at the Fermi level**: 1.38 states/eV per atom
**ΔE to the lowest computed polymorph**: 24.2 meV per atom

2.
The following is a DFT calculation (PBE-GGA) of a relaxed P4IrBr crystal.

Cell lengths 5.436, 5.436, 5.436 Å; angles 60.00, 60.00, 60.00 degrees
Sites, in units of the cell vectors:
P1 0.104 0.104 0.104
P2 0.104 0.104 0.688
P3 0.104 0.688 0.104
P4 0.688 0.104 0.104
Ir1 0.500 0.500 0.500
Br1 0.750 0.750 0.750

Properties
**Calculated density**: 5.79 g/cm³
**Calculated total energy**: -4.330 eV per atom
**Density of states at the Fermi level**: 1.00 states/eV per atom

- What is the calculated density in the first record?
  8.50 g/cm³

Please write out number 2 again, unchanged.
The following is a DFT calculation (PBE-GGA) of a relaxed P4IrBr crystal.

Cell lengths 5.436, 5.436, 5.436 Å; angles 60.00, 60.00, 60.00 degrees
Sites, in units of the cell vectors:
P1 0.104 0.104 0.104
P2 0.104 0.104 0.688
P3 0.104 0.688 0.104
P4 0.688 0.104 0.104
Ir1 0.500 0.500 0.500
Br1 0.750 0.750 0.750

Properties
**Calculated density**: 5.79 g/cm³
**Calculated total energy**: -4.330 eV per atom
**Density of states at the Fermi level**: 1.00 states/eV per atom